# ScCdSn3, relaxed, DFT PBE-GGA
# Energy of formation from the pure elements ... 0.326 eV per atom
# Space-group type ... No. 221
# M_tot ... 0.0 μB per formula unit
data_ScCdSn3
_cell_length_a 5.551
_cell_length_b 5.551
_cell_length_c 5.551
_cell_angle_alpha 90.00
_cell_angle_beta 90.00
_cell_angle_gamma 90.00
_space_group_name_H-M_alt 'P 1'
_space_group_IT_number 1
loop_
_space_group_symop_operation_xyz
'x,y,z'
loop_
_atom_site_label
_atom_site_type_symbol
_atom_site_fract_x
_atom_site_fract_y
_atom_site_fract_z
_atom_site_occupancy
Sc1 Sc 0.000 0.000 0.000 1
Sn1 Sn 0.000 0.500 0.000 1
Sn2 Sn 0.000 0.000 0.500 1
Sn3 Sn 0.500 0.000 0.000 1
Cd1 Cd 0.500 0.500 0.500 1